A plane-wave DFT calculation with PBE was carried out for a geometry-optimized BaLa3 structure.

- spin magnetization (μB/atom) = 0.0000
- Fermi-level density of states (states/eV/f.u.) = 6.27
- formation energy (eV per atom) = 0.15
- polymorph energy (0 for the lowest one) (eV/atom) = 0.065
- SG = P6_3/mmc

Lattice parameters (Å, degrees): 7.7520 7.7520 12.4942 90.00 90.00 120.00
Atoms (fractional coordinates):
Ba1 0.0000 0.0000 0.0000
Ba2 0.0000 0.0000 0.5000
Ba3 0.3333 0.6667 0.2500
Ba4 0.6667 0.3333 0.7500
La1 0.5000 0.0000 0.0000
La2 0.5000 0.0000 0.5000
La3 0.0000 0.5000 0.0000
La4 0.5000 0.5000 0.0000
La5 0.5000 0.5000 0.5000
La6 0.0000 0.5000 0.5000
La7 0.8265 0.6530 0.2500
La8 0.1735 0.3470 0.7500
La9 0.3470 0.1735 0.2500
La10 0.8265 0.1735 0.2500
La11 0.1735 0.8265 0.7500
La12 0.6530 0.8265 0.7500